GGA-PBE CdAs2RhI, optimized geometry; ρ = 5215 kg/m³; total energy = -2.2052 eV/atom; formation energy (no corrections) = 156.1 kJ/mol of atoms; symmetry = P4/mmm
1.0
5.374 0.000 0.000
0.000 5.374 0.000
0.000 0.000 5.426
Cd As Rh I
1 2 1 1
Cartesian
0.000 0.000 0.000
0.000 2.687 2.713
2.687 0.000 2.713
2.687 2.687 0.000
0.000 0.000 2.713